## NiIr3 (meta-GGA SCAN)

Data for NiIr3 at its PBEsol-relaxed geometry.

Values from the calculation:
DOS(E_F) = 4.19 states/eV per cell
Space group = No. 47
Raw total energy = -229.47 eV per cell
Total magnetic moment = 0.69 μB/f.u.

Unit cell a=2.6894 b=3.7273 c=5.2873 alpha=90.00 beta=90.00 gamma=90.00
Last column: nearest neighbours and their distance in Å.
Element x y z (fractional)
Ni1 0.5000 0.5000 0.0000  10 Ir 2.63-2.64, 2 Ni 2.69
Ir1 0.0000 0.0000 0.7566  8 Ir 2.57-2.71, 4 Ni 2.63
Ir2 0.0000 0.0000 0.2434  8 Ir 2.57-2.71, 4 Ni 2.63
Ir3 0.5000 0.5000 0.5000  2 Ni 2.64, 10 Ir 2.67-2.69